Record 1
First-principles (PBE) data for an optimized crystal structure of Cu2NiPd, as listed in Alexandria via LeMat-Bulk.

Cell lengths 2.6395, 2.6395, 25.2676 Å; angles 90.00, 90.00, 120.00 degrees
Last column: nearest neighbours and their distance in Å.
Space group R3m (No. 160, hexagonal axes)
Unique sites:
Cu: 0.0000 0.0000 0.0000 [3 per cell]  3 Ni 2.51, 6 Cu 2.64, 3 Pd 2.68
Cu: 0.0000 0.0000 0.1581 [3 per cell]  3 Ni 2.51, 6 Cu 2.64, 3 Pd 2.69
Ni: 0.0000 0.0000 0.4123 [3 per cell]  6 Cu 2.51, 6 Ni 2.64
Pd: 0.0000 0.0000 0.5792 [3 per cell]  6 Pd 2.64, 6 Cu 2.68-2.69

Calculated values
* total magnetic moment: 0.3 μB per formula unit
* DFT total energy: -19.12 eV per formula unit
* calculated volume: 152.46 Å³/cell


Record 2
First-principles (PBE) data for an optimized crystal structure of CuNi2Pd, as listed in Alexandria via LeMat-Bulk.

Cell lengths 2.6397, 2.6397, 7.0824 Å; angles 90.00, 90.00, 90.00 degrees
Last column: nearest neighbours and their distance in Å.
Space group P4/mmm (No. 123)
Unique sites:
Cu: 0.0000 0.0000 0.0000 [1 per cell]  8 Ni 2.51, 4 Cu 2.64
Ni: 0.5000 0.5000 0.2369 [2 per cell]  4 Cu 2.51, 4 Pd 2.64, 4 Ni 2.64
Pd: 0.0000 0.0000 0.5000 [1 per cell]  8 Ni 2.64, 4 Pd 2.64

Calculated values
* total magnetic moment: 1.1 μB per formula unit
* calculated volume: 49.35 Å³/cell
* energy above the most stable polymorph in this dataset: 30 meV/atom